1.
# PWNO2 (SCAN, single point on PBEsol structure)
# **DFT total energy**: -20.659 eV per atom
data_PWNO2
_chemical_formula_sum 'P1 W1 N1 O2'
_space_group_name_H-M_alt 'P 4/m m m'
_space_group_IT_number 123
_space_group_name_Hall '-P 4 2'
_cell_length_a 3.820
_cell_length_b 3.820
_cell_length_c 4.056
_cell_angle_alpha 90.00
_cell_angle_beta 90.00
_cell_angle_gamma 90.00
loop_
_atom_site_label
_atom_site_fract_x
_atom_site_fract_y
_atom_site_fract_z
P1 0.000 0.000 0.000
W1 0.500 0.500 0.500
N1 0.500 0.500 0.000
O1 0.000 0.500 0.500


2.
# SbPbN2O (SCAN, single point on PBEsol structure)
# **DFT total energy**: -26.312 eV per atom
data_SbPbN2O
_chemical_formula_sum 'Sb1 Pb1 N2 O1'
_space_group_name_H-M_alt 'P 4/m m m'
_space_group_IT_number 123
_space_group_name_Hall '-P 4 2'
_cell_length_a 4.224
_cell_length_b 4.224
_cell_length_c 4.161
_cell_angle_alpha 90.00
_cell_angle_beta 90.00
_cell_angle_gamma 90.00
loop_
_atom_site_label
_atom_site_fract_x
_atom_site_fract_y
_atom_site_fract_z
Sb1 0.000 0.000 0.000
Pb1 0.500 0.500 0.500
N1 0.000 0.500 0.500
O1 0.500 0.500 0.000


3.
# TePbN2O (SCAN, single point on PBEsol structure)
# **DFT total energy**: -25.532 eV per atom
data_TePbN2O
_chemical_formula_sum 'Te1 Pb1 N2 O1'
_space_group_name_H-M_alt 'P 4/m m m'
_space_group_IT_number 123
_space_group_name_Hall '-P 4 2'
_cell_length_a 4.085
_cell_length_b 4.085
_cell_length_c 6.434
_cell_angle_alpha 90.00
_cell_angle_beta 90.00
_cell_angle_gamma 90.00
loop_
_atom_site_label
_atom_site_fract_x
_atom_site_fract_y
_atom_site_fract_z
Te1 0.000 0.000 0.000
Pb1 0.000 0.000 0.500
N1 0.000 0.500 0.500
O1 0.500 0.500 0.000


4.
# PdN2O2 (SCAN, single point on PBEsol structure)
# **DFT total energy**: -11.026 eV per atom
data_PdN2O2
_chemical_formula_sum 'Pd1 N2 O2'
_space_group_name_H-M_alt 'P 4/m m m'
_space_group_IT_number 123
_space_group_name_Hall '-P 4 2'
_cell_length_a 3.811
_cell_length_b 3.811
_cell_length_c 4.065
_cell_angle_alpha 90.00
_cell_angle_beta 90.00
_cell_angle_gamma 90.00
loop_
_atom_site_label
_atom_site_fract_x
_atom_site_fract_y
_atom_site_fract_z
Pd1 0.000 0.000 0.000
N1 0.000 0.000 0.500
N2 0.500 0.500 0.500
O1 0.000 0.500 0.000


Respective volume values: 59.2 74.2 107.4 59.0 Å³ per cell.
Respective energy relative to the elements, uncorrected values: -1.45 6.29 10.18 8.69 eV/f.u..
Respective total magnetic moment values: 0.51 0.00 3.05 0.88 Bohr magnetons per cell.